1.
Here is an optimized crystal structure of Ac2Ho3In4 from Alexandria. Energies are from GGA-PBE.

Results
DFT total energy = -0.293 Ry per atom
DFT formation energy = -0.33 eV per atom
DOS(E_F) = 18.00 states/eV per cell
relative energy among the computed polymorphs = 102 meV per atom

```
Ac2Ho3In4
1.0
-1.805 -6.050 -3.413
2.528 -4.897 7.342
-7.167 3.635 4.892
Ac Ho In
4 6 8
Direct
0.110 0.580 0.220
0.890 0.420 0.780
0.390 0.080 0.780
0.610 0.920 0.220
0.000 0.000 0.000
0.500 0.500 0.000
0.531 0.750 0.561
0.969 0.250 0.439
0.469 0.250 0.439
0.031 0.750 0.561
0.707 0.750 0.914
0.793 0.250 0.086
0.293 0.250 0.086
0.207 0.750 0.914
0.182 0.961 0.364
0.818 0.039 0.636
0.318 0.461 0.636
0.682 0.539 0.364
```

2.
Here is an optimized crystal structure of TbY8Er2 from Alexandria. Energies are from GGA-PBE.

Results
DFT total energy = -0.403 Ry per atom
DFT formation energy = 0.47 eV per atom
DOS(E_F) = 17.24 states/eV per cell
relative energy among the computed polymorphs = 312 meV per atom

```
TbY8Er2
1.0
-5.292 3.609 5.368
3.021 -3.258 3.707
6.179 5.340 1.775
Tb Y Er
1 8 2
Direct
0.000 0.000 0.000
0.645 0.206 0.853
0.853 0.794 0.645
0.270 0.095 0.730
0.730 0.905 0.270
0.147 0.206 0.355
0.355 0.794 0.147
0.426 0.711 0.574
0.574 0.289 0.426
0.137 0.520 0.863
0.863 0.480 0.137
```